Density functional theory data (PBE) for an optimized crystal structure of LaCd4Cl.

It has space group F-43m (No. 216), with a = 8.601 Å, b = 8.601 Å, c = 8.601 Å, α = 90.00°, β = 90.00° and γ = 90.00°. The distinct sites, in fractional coordinates, are La at (0.000, 0.000, 0.000), Cd at (0.125, 0.125, 0.625) and Cl at (0.250, 0.250, 0.250).

The volume is 636.3 Å³/cell. The calculation puts the formation energy (no corrections) at -250 meV/atom. As for the theoretical density: 6.51 g cm⁻³.